[1]
Below is a relaxed Pm15AlIn4 crystal, with properties calculated at the PBE level.

Results
crystal system = tetragonal
total energy = -4.551 eV/atom
formation energy = -253 meV/atom

abc: 4.9371 4.9371 24.8052
angles: 90.00 90.00 90.00
Closest atoms and distances in Å follow each position.
Fractional positions:
Pm (0.0000, 0.0000, 0.0000)  8 Pm 3.44, 4 Al 3.49
Pm (0.0000, 0.0000, 0.1976)  4 In 3.49, 8 Pm 3.52
Pm (0.0000, 0.0000, 0.3996)  4 In 3.49, 8 Pm 3.51
Pm (0.0000, 0.0000, 0.6004)  4 In 3.49, 8 Pm 3.51
Pm (0.0000, 0.0000, 0.8024)  4 In 3.49, 8 Pm 3.52
Pm (0.0000, 0.5000, 0.0965)  2 Al 3.44, 8 Pm 3.44-3.52, 2 In 3.53
Pm (0.0000, 0.5000, 0.2988)  8 Pm 3.49-3.52, 4 In 3.51
Pm (0.0000, 0.5000, 0.5000)  8 Pm 3.49-3.51, 4 In 3.51
Pm (0.0000, 0.5000, 0.7012)  8 Pm 3.49-3.52, 4 In 3.51
Pm (0.0000, 0.5000, 0.9035)  2 Al 3.44, 8 Pm 3.44-3.52, 2 In 3.53
Pm (0.5000, 0.0000, 0.0965)  2 Al 3.44, 8 Pm 3.44-3.52, 2 In 3.53
Pm (0.5000, 0.0000, 0.2988)  8 Pm 3.49-3.52, 4 In 3.51
Pm (0.5000, 0.0000, 0.5000)  8 Pm 3.49-3.51, 4 In 3.51
Pm (0.5000, 0.0000, 0.7012)  8 Pm 3.49-3.52, 4 In 3.51
Pm (0.5000, 0.0000, 0.9035)  2 Al 3.44, 8 Pm 3.44-3.52, 2 In 3.53
Al (0.5000, 0.5000, 0.0000)  12 Pm 3.44-3.49
In (0.5000, 0.5000, 0.1983)  12 Pm 3.49-3.53
In (0.5000, 0.5000, 0.3994)  12 Pm 3.49-3.51
In (0.5000, 0.5000, 0.6006)  12 Pm 3.49-3.51
In (0.5000, 0.5000, 0.8017)  12 Pm 3.49-3.53

=====

[2]
Below is a relaxed Pm6AlIn2 crystal, with properties calculated at the PBE level.

Results
crystal system = hexagonal
total energy = -4.467 eV/atom
formation energy = -275 meV/atom

abc: 8.4018 8.4018 4.5459
angles: 90.00 90.00 120.00
Closest atoms and distances in Å follow each position.
Fractional positions:
Pm (0.0000, 0.2576, 0.0000)  2 Al 3.14, 2 In 3.17
Pm (0.0000, 0.5968, 0.5000)  1 Al 3.39, 4 In 3.42, 6 Pm 3.65-3.74
Pm (0.2576, 0.0000, 0.0000)  2 Al 3.14, 2 In 3.17
Pm (0.4032, 0.4032, 0.5000)  1 Al 3.39, 4 In 3.42, 6 Pm 3.65-3.74
Pm (0.5968, 0.0000, 0.5000)  1 Al 3.39, 4 In 3.42, 6 Pm 3.65-3.74
Pm (0.7424, 0.7424, 0.0000)  2 Al 3.14, 2 In 3.17
Al (0.0000, 0.0000, 0.5000)  9 Pm 3.14-3.39
In (0.3333, 0.6667, 0.0000)  9 Pm 3.17-3.42
In (0.6667, 0.3333, 0.0000)  9 Pm 3.17-3.42

=====

[3]
Below is a relaxed Pm2Al3In crystal, with properties calculated at the PBE level.

Results
crystal system = orthorhombic
total energy = -4.382 eV/atom
formation energy = -471 meV/atom

abc: 9.3255 8.9051 5.9790
angles: 74.71 67.09 38.20
Closest atoms and distances in Å follow each position.
Fractional positions:
Pm (0.2500, 0.2500, 0.2500)  4 In 3.28, 8 Al 3.30
Pm (0.2499, 0.7501, 0.7501)  10 Al 3.23-3.30, 2 In 3.28
Pm (0.7501, 0.2499, 0.2499)  10 Al 3.23-3.30, 2 In 3.28
Pm (0.7500, 0.7500, 0.7500)  4 In 3.28, 8 Al 3.30
Al (0.1632, 0.1632, 0.8368)  2 Al 2.63, 1 In 2.75
Al (0.1629, 0.6735, 0.3265)  2 Al 2.63-2.64, 1 In 2.75
Al (0.3265, 0.8371, 0.1629)  2 Al 2.63-2.64, 1 In 2.75
Al (0.6735, 0.1629, 0.8371)  2 Al 2.63-2.64, 1 In 2.75
Al (0.8371, 0.3265, 0.6735)  2 Al 2.63-2.64, 1 In 2.75
Al (0.8368, 0.8368, 0.1632)  2 Al 2.63, 1 In 2.75
In (0.3334, 0.3334, 0.6666)  3 Al 2.75
In (0.6666, 0.6666, 0.3334)  3 Al 2.75

=====

What is the formula in the first record?
Pm15AlIn4